Entry 1:
A plane-wave DFT calculation with PBE was carried out for an optimized crystal structure of KRe4Se.

```
6
Lattice="0.000 3.803 3.803 3.803 0.000 3.803 3.803 3.803 0.000" Properties=species:S:1:pos:R:3 pbc="T T T"
K 0.000 0.000 0.000
Re 2.862 4.743 4.743
Re 4.743 4.743 2.862
Re 4.743 2.862 4.743
Re 2.862 2.862 2.862
Se 5.704 5.704 5.704
```

N(E_F)	4.83	states/eV per cell
final energy	-47.261	eV per formula unit
SG	F-43m
formation energy (no corrections)	1186	meV/atom

---

Entry 2:
A plane-wave DFT calculation with PBE was carried out for an optimized crystal structure of K2ReSe.

```
4
Lattice="-1.261 5.340 -0.616 -4.302 2.151 2.712 0.845 3.534 4.158" Properties=species:S:1:pos:R:3 pbc="T T T"
K 0.000 0.000 0.000
K -1.180 2.756 1.564
Re -2.359 5.512 3.127
Se -3.539 8.269 4.691
```

N(E_F)	4.76	states/eV per cell
final energy	-13.952	eV per formula unit
SG	F-43m
formation energy (no corrections)	1044	meV/atom